[1]
NbRu5W: optimized geometry, PBE-GGA.

## Properties
As for the volume: 16.0 Å³ per atom. For the total DFT energy (no corrections), the calculation gives -9.65 eV/atom. The formation enthalpy at 0 K comes out at 0.269 eV per atom.

Structure (CIF):
```
data_NbRu5W
_chemical_formula_sum 'Nb1 Ru5 W1'
_symmetry_space_group_name_H-M 'P 4/m m m'
_symmetry_Int_Tables_number 123
_symmetry_space_group_name_Hall '-P 4 2'
_cell_length_a 4.1844
_cell_length_b 4.1844
_cell_length_c 6.3815
_cell_angle_alpha 90.00
_cell_angle_beta 90.00
_cell_angle_gamma 90.00
loop_
_atom_site_label
_atom_site_type_symbol
_atom_site_fract_x
_atom_site_fract_y
_atom_site_fract_z
_atom_site_occupancy
Nb1 Nb 0.0000 0.0000 0.0000 1
Ru1 Ru 0.0000 0.0000 0.5000 1
Ru2 Ru 0.0000 0.5000 0.2359 1
W1 W 0.5000 0.5000 0.5000 1
```

[2]
NbRuW2: optimized geometry, PBE-GGA.

## Properties
As for the volume: 17.5 Å³ per atom. For the total DFT energy (no corrections), the calculation gives -10.58 eV/atom. The formation enthalpy at 0 K comes out at 0.732 eV per atom. The distance to the lowest polymorph of the same formula comes out at 649.1 meV/atom.

Structure (CIF):
```
data_NbRuW2
_chemical_formula_sum 'Nb4 Ru4 W8'
_symmetry_space_group_name_H-M 'I -4 2 d'
_symmetry_Int_Tables_number 122
_symmetry_space_group_name_Hall 'I -4 2bw'
_cell_length_a 7.3080
_cell_length_b 7.3080
_cell_length_c 5.2439
_cell_angle_alpha 90.00
_cell_angle_beta 90.00
_cell_angle_gamma 90.00
loop_
_atom_site_label
_atom_site_type_symbol
_atom_site_fract_x
_atom_site_fract_y
_atom_site_fract_z
_atom_site_occupancy
Nb1 Nb 0.0000 0.0000 0.0000 1
Ru1 Ru 0.0000 0.0000 0.5000 1
W1 W 0.2290 0.2500 0.6250 1
```

[3]
NbRu3W: optimized geometry, PBE-GGA.

## Properties
As for the volume: 16.3 Å³ per atom. For the total DFT energy (no corrections), the calculation gives -9.90 eV/atom. The formation enthalpy at 0 K comes out at 0.272 eV per atom. The distance to the lowest polymorph of the same formula comes out at 0.0 meV/atom.

Structure (CIF):
```
data_NbRu3W
_chemical_formula_sum 'Nb4 Ru12 W4'
_symmetry_space_group_name_H-M 'C m c m'
_symmetry_Int_Tables_number 63
_symmetry_space_group_name_Hall '-C 2c 2'
_cell_length_a 5.3079
_cell_length_b 12.4995
_cell_length_c 4.9187
_cell_angle_alpha 90.00
_cell_angle_beta 90.00
_cell_angle_gamma 90.00
loop_
_atom_site_label
_atom_site_type_symbol
_atom_site_fract_x
_atom_site_fract_y
_atom_site_fract_z
_atom_site_occupancy
Nb1 Nb 0.0000 0.0699 0.2500 1
Ru1 Ru 0.0000 0.5000 0.0000 1
Ru2 Ru 0.2486 0.1545 0.7500 1
W1 W 0.0000 0.3210 0.7500 1
```

[4]
NbZn2RuW: optimized geometry, PBE-GGA.

## Properties
As for the volume: 19.8 Å³ per atom. For the total DFT energy (no corrections), the calculation gives -5.77 eV/atom. The formation enthalpy at 0 K comes out at 1.198 eV per atom.

Structure (CIF):
```
data_NbZn2RuW
_chemical_formula_sum 'Nb1 Zn2 Ru1 W1'
_symmetry_space_group_name_H-M 'P 4/m m m'
_symmetry_Int_Tables_number 123
_symmetry_space_group_name_Hall '-P 4 2'
_cell_length_a 4.5893
_cell_length_b 4.5893
_cell_length_c 4.7085
_cell_angle_alpha 90.00
_cell_angle_beta 90.00
_cell_angle_gamma 90.00
loop_
_atom_site_label
_atom_site_type_symbol
_atom_site_fract_x
_atom_site_fract_y
_atom_site_fract_z
_atom_site_occupancy
Nb1 Nb 0.0000 0.0000 0.0000 1
Zn1 Zn 0.0000 0.5000 0.5000 1
Ru1 Ru 0.5000 0.5000 0.5000 1
W1 W 0.5000 0.5000 0.0000 1
```

[5]
Y2NbRu: optimized geometry, PBE-GGA.

## Properties
As for the volume: 23.4 Å³ per atom. For the total DFT energy (no corrections), the calculation gives -7.57 eV/atom. The formation enthalpy at 0 K comes out at 0.499 eV per atom. The distance to the lowest polymorph of the same formula comes out at 284.9 meV/atom.

Structure (CIF):
```
data_Y2NbRu
_chemical_formula_sum 'Y8 Nb4 Ru4'
_symmetry_space_group_name_H-M 'I -4 2 d'
_symmetry_Int_Tables_number 122
_symmetry_space_group_name_Hall 'I -4 2bw'
_cell_length_a 7.9653
_cell_length_b 7.9653
_cell_length_c 5.8977
_cell_angle_alpha 90.00
_cell_angle_beta 90.00
_cell_angle_gamma 90.00
loop_
_atom_site_label
_atom_site_type_symbol
_atom_site_fract_x
_atom_site_fract_y
_atom_site_fract_z
_atom_site_occupancy
Y1 Y 0.2040 0.7500 0.1250 1
Nb1 Nb 0.0000 0.0000 0.5000 1
Ru1 Ru 0.0000 0.0000 0.0000 1
```

[6]
YNb2Ru: optimized geometry, PBE-GGA.

## Properties
As for the volume: 18.4 Å³ per atom. For the total DFT energy (no corrections), the calculation gives -8.77 eV/atom. The formation enthalpy at 0 K comes out at 0.195 eV per atom. The distance to the lowest polymorph of the same formula comes out at 0.0 meV/atom.

Structure (CIF):
```
data_YNb2Ru
_chemical_formula_sum 'Y4 Nb8 Ru4'
_symmetry_space_group_name_H-M 'F m -3 m'
_symmetry_Int_Tables_number 225
_symmetry_space_group_name_Hall '-F 4 2 3'
_cell_length_a 6.6574
_cell_length_b 6.6574
_cell_length_c 6.6574
_cell_angle_alpha 90.00
_cell_angle_beta 90.00
_cell_angle_gamma 90.00
loop_
_atom_site_label
_atom_site_type_symbol
_atom_site_fract_x
_atom_site_fract_y
_atom_site_fract_z
_atom_site_occupancy
Y1 Y 0.0000 0.0000 0.0000 1
Nb1 Nb 0.2500 0.2500 0.2500 1
Ru1 Ru 0.0000 0.0000 0.5000 1
```

Question: Look up the volume of the first one.
Answer: 16.0 Å³ per atom

Question: The highest total DFT energy (no corrections) belongs to which entry?
Answer: NbZn2RuW

Question: Which of these has the highest volume?
Answer: Y2NbRu

Question: total DFT energy (no corrections) of number 2 (NbRuW2)?
Answer: -10.58 eV/atom